# PmTcP2 (PBE-GGA, relaxed)
data_PmTcP2
_cell_length_a 4.1134
_cell_length_b 4.1134
_cell_length_c 14.5958
_cell_angle_alpha 90.00
_cell_angle_beta 90.00
_cell_angle_gamma 120.00
_symmetry_space_group_name_H-M 'R -3 m'
_symmetry_Int_Tables_number 166
_symmetry_space_group_name_Hall '-R 3 2"'
loop_
_atom_site_label
_atom_site_fract_x
_atom_site_fract_y
_atom_site_fract_z
Pm1 0.0000 0.0000 0.0000
Tc1 0.0000 0.0000 0.5000
P1 0.0000 0.0000 0.2139
# formation enthalpy at 0 K	-0.87	eV per atom
# total DFT energy (no corrections)	-0.5407	Ry per atom
# crystal system	trigonal
# M_tot	0.00	μB per cell
# energy above the lowest structure with this stoichiometry	0.0	kJ/mol of atoms

---

# Pm2TcP (PBE-GGA, relaxed)
data_Pm2TcP
_cell_length_a 3.8000
_cell_length_b 3.8000
_cell_length_c 26.2255
_cell_angle_alpha 90.00
_cell_angle_beta 90.00
_cell_angle_gamma 120.00
_symmetry_space_group_name_H-M 'R -3 m'
_symmetry_Int_Tables_number 166
_symmetry_space_group_name_Hall '-R 3 2"'
loop_
_atom_site_label
_atom_site_fract_x
_atom_site_fract_y
_atom_site_fract_z
Pm1 0.0000 0.0000 0.1002
Tc1 0.0000 0.0000 0.0000
P1 0.0000 0.0000 0.5000
# formation enthalpy at 0 K	0.21	eV per atom
# total DFT energy (no corrections)	-0.4491	Ry per atom
# crystal system	trigonal
# M_tot	1.63	μB per cell
# energy above the lowest structure with this stoichiometry	56.7	kJ/mol of atoms

---

# PmTcP2 (PBE-GGA, relaxed)
data_PmTcP2
_cell_length_a 6.495
_cell_length_b 6.495
_cell_length_c 6.495
_cell_angle_alpha 90.00
_cell_angle_beta 90.00
_cell_angle_gamma 90.00
_symmetry_space_group_name_H-M 'F m -3 m'
_symmetry_Int_Tables_number 225
_symmetry_space_group_name_Hall '-F 4 2 3'
loop_
_atom_site_label
_atom_site_fract_x
_atom_site_fract_y
_atom_site_fract_z
Pm1 0.000 0.000 0.000
Tc1 0.000 0.000 0.500
P1 0.250 0.250 0.250
# formation enthalpy at 0 K	-0.46	eV per atom
# total DFT energy (no corrections)	-0.5103	Ry per atom
# crystal system	cubic
# M_tot	0.00	μB per cell
# energy above the lowest structure with this stoichiometry	40.0	kJ/mol of atoms